Computed, not measured: a relaxed structure of MnZn2SiHg at the PBE level of DFT.

Formation energy without anion corrections: 897 meV/atom
Size of the total moment: 2.90 μB/f.u.

abc: 4.741 5.068 4.741
angles: 90.00 90.00 90.00
Site moments in Bohr magnetons follow the coordinates.
Positions (direct):
Hg  0.000  0.500  0.000  0.00
Zn  0.500  0.000  0.000  -0.03
Zn  0.000  0.000  0.500  0.00
Mn  0.000  0.000  0.000  3.08
Si  0.500  0.500  0.500  -0.09